(1)
## HoUMoO6 (GGA+U)

Data for an optimized crystal structure of HoUMoO6.

POSCAR file:
```
HoUMoO6
1.0
5.6947 0.0000 0.0000
-2.8474 4.9318 0.0000
0.0000 0.0000 8.8850
Ho U Mo O
2 2 2 12
Direct
0.3333 0.6667 0.2500
0.6667 0.3333 0.7500
0.6667 0.3333 0.2500
0.3333 0.6667 0.7500
0.0000 0.0000 0.5000
0.0000 0.0000 0.0000
0.9779 0.3221 0.1289
0.6779 0.6558 0.1289
0.3442 0.3221 0.3711
0.6558 0.6779 0.6289
0.6779 0.0221 0.3711
0.3221 0.3442 0.8711
0.3221 0.9779 0.6289
0.0221 0.3442 0.6289
0.6558 0.9779 0.8711
0.0221 0.6779 0.8711
0.3442 0.0221 0.1289
0.9779 0.6558 0.3711
```

(2)
## HoMoWO6 (GGA+U)

Data for an optimized crystal structure of HoMoWO6.

POSCAR file:
```
HoMoWO6
1.0
5.4745 0.0000 0.0000
-2.7373 4.7411 0.0000
0.0000 0.0000 8.9224
O Ho Mo W
12 2 2 2
Direct
0.9581 0.6385 0.3707
0.0419 0.3615 0.6293
0.3196 0.9581 0.6293
0.3196 0.3615 0.8707
0.9581 0.3196 0.1293
0.6804 0.6385 0.1293
0.6385 0.6804 0.6293
0.0419 0.6804 0.8707
0.6804 0.0419 0.3707
0.6385 0.9581 0.8707
0.3615 0.3196 0.3707
0.3615 0.0419 0.1293
0.3333 0.6667 0.2500
0.6667 0.3333 0.7500
0.0000 0.0000 0.5000
0.0000 0.0000 0.0000
0.6667 0.3333 0.2500
0.3333 0.6667 0.7500
```

(3)
## Y2HoMoO8 (GGA+U)

Data for an optimized crystal structure of Y2HoMoO8.

POSCAR file:
```
Y2HoMoO8
1.0
-4.3884 1.6328 1.9229
-1.9538 -4.6109 -0.7367
2.0309 -1.8525 6.2080
O Ho Mo Y
8 1 1 2
Direct
0.1817 0.8177 0.2130
0.2747 0.2739 0.0000
0.7253 0.7261 0.0000
0.1817 0.8177 0.7870
0.8183 0.1823 0.2130
0.8183 0.1823 0.7870
0.6942 0.6946 0.5000
0.3058 0.3054 0.5000
0.0000 0.0000 0.5000
0.0000 0.0000 0.0000
0.5000 0.5000 0.7501
0.5000 0.5000 0.2499
```

(4)
## HoZnMoO6 (GGA+U)

Data for an optimized crystal structure of HoZnMoO6.

POSCAR file:
```
HoZnMoO6
1.0
-1.2811 -4.0424 1.2597
3.0487 -2.1980 -3.9528
2.1459 0.8595 4.9403
O Zn Ho Mo
6 1 1 1
Direct
0.7401 0.6931 0.7074
0.7401 0.2926 0.9857
0.2599 0.2926 0.3069
0.2599 0.0143 0.7074
0.2599 0.6931 0.9857
0.7401 0.0143 0.3069
0.0000 0.3333 0.6667
0.5000 0.6667 0.3333
0.5000 0.0000 0.0000
```

(5)
## HoZnMo2O6 (GGA+U)

Data for an optimized crystal structure of HoZnMo2O6.

POSCAR file:
```
HoZnMo2O6
1.0
-1.3019 4.5364 -3.0470
-5.1924 -0.4806 1.5030
-3.7306 4.1844 7.8236
O Zn Ho Mo
12 2 2 4
Direct
0.5699 0.7649 0.4256
0.4301 0.7649 0.9256
0.8383 0.6249 0.7477
0.4392 0.1034 0.5653
0.9283 0.2448 0.5710
0.5608 0.1034 0.0653
0.0686 0.8957 0.4383
0.3126 0.3804 0.7538
0.6874 0.3804 0.2538
0.1617 0.6249 0.2477
0.0717 0.2448 0.0710
0.9314 0.8957 0.9383
0.7656 0.7474 0.2460
0.2344 0.7474 0.7460
0.3100 0.2375 0.2529
0.6900 0.2375 0.7529
0.2425 0.5012 0.4992
0.7575 0.5012 0.9992
0.2362 0.9987 0.0016
0.7638 0.9987 0.5016
```

| no. | VASP energy (eV per cell) |
| --- | --- |
| 1 | -154.993 |
| 2 | -139.055 |
| 3 | -96.215 |
| 4 | -58.763 |
| 5 | -140.645 |